YPuSbPd: relaxed, PBE.

raw total energy	-8.1589	eV/atom

Cell lengths 7.331, 7.331, 7.331 Å; angles 90.00, 90.00, 90.00 degrees
Fractional positions:
Y: 0.000 0.000 0.000
Y: 0.000 0.500 0.500
Y: 0.500 0.000 0.500
Y: 0.500 0.500 0.000
Pu: 0.000 0.000 0.500
Pu: 0.000 0.500 0.000
Pu: 0.500 0.000 0.000
Pu: 0.500 0.500 0.500
Sb: 0.250 0.250 0.250
Sb: 0.250 0.750 0.750
Sb: 0.750 0.250 0.750
Sb: 0.750 0.750 0.250
Pd: 0.250 0.250 0.750
Pd: 0.250 0.750 0.250
Pd: 0.750 0.250 0.250
Pd: 0.750 0.750 0.750

=====

LaPuPa2N6: relaxed, PBE.

raw total energy	-10.1872	eV/atom

Cell lengths 6.099, 6.099, 6.099 Å; angles 59.42, 59.42, 59.42 degrees
Fractional positions:
La: 0.000 0.000 0.000
Pu: 0.471 0.471 0.471
Pa: 0.255 0.255 0.255
Pa: 0.764 0.764 0.764
N: 0.078 0.613 0.409
N: 0.155 0.547 0.867
N: 0.409 0.078 0.613
N: 0.547 0.867 0.155
N: 0.613 0.409 0.078
N: 0.867 0.155 0.547

=====

TaRe5: relaxed, PBE.

polymorph energy (0 for the lowest one)	0.0	kJ per mole of atoms
energy of formation from the pure elements	21	meV per atom

Cell lengths 3.943, 12.046, 3.962 Å; angles 90.00, 90.00, 90.00 degrees
Fractional positions:
Ta: 0.000 0.000 0.000
Ta: 0.500 0.500 0.000
Re: 0.000 0.172 0.500
Re: 0.000 0.325 0.000
Re: 0.000 0.500 0.500
Re: 0.000 0.675 0.000
Re: 0.000 0.828 0.500
Re: 0.500 0.000 0.500
Re: 0.500 0.175 0.000
Re: 0.500 0.328 0.500
Re: 0.500 0.672 0.500
Re: 0.500 0.825 0.000